Entry 1:
First-principles (GGA-PBE) data for an optimized crystal structure of Tm3AlAu2, as listed in the Alexandria database.

a = 3.531 Å, b = 3.531 Å, c = 10.825 Å
α = 90.00°, β = 90.00°, γ = 90.00°
Element x y z (fractional)
Tm (0.000, 0.000, 0.000)
Tm (0.000, 0.000, 0.330)
Tm (0.000, 0.000, 0.670)
Al (0.500, 0.500, 0.500)
Au (0.500, 0.500, 0.171)
Au (0.500, 0.500, 0.829)

total moment = 0.0 Bohr magnetons per cell
space group = P4/mmm
D(E_F) = 0.55 states/eV/atom
volume = 135.0 Å³/cell
formation energy from the elements = -70.1 kJ per mole of atoms



Entry 2:
First-principles (GGA-PBE) data for an optimized crystal structure of LiTeW2, as listed in the Alexandria database.

a = 2.992 Å, b = 2.992 Å, c = 9.212 Å
α = 90.00°, β = 90.00°, γ = 112.76°
Element x y z (fractional)
Li (0.000, 0.000, 0.000)
Te (0.500, 0.500, 0.729)
W (0.000, 0.000, 0.456)
W (0.500, 0.500, 0.248)

total moment = 0.0 Bohr magnetons per cell
space group = Cmm2
D(E_F) = 0.51 states/eV/atom
volume = 76.0 Å³/cell
uncorrected formation energy = 0.471 eV/atom



Entry 3:
First-principles (GGA-PBE) data for an optimized crystal structure of CsCd3Cu4Br12, as listed in the Alexandria database.

a = 9.179 Å, b = 9.179 Å, c = 9.179 Å
α = 105.16°, β = 105.16°, γ = 105.16°
Element x y z (fractional)
Cs (0.000, 0.000, 0.000)
Cd (0.000, 0.567, 0.433)
Cd (0.433, 0.000, 0.567)
Cd (0.567, 0.433, 0.000)
Cu (0.080, 0.500, 0.920)
Cu (0.500, 0.500, 0.500)
Cu (0.500, 0.920, 0.080)
Cu (0.920, 0.080, 0.500)
Br (0.008, 0.635, 0.748)
Br (0.088, 0.912, 0.500)
Br (0.252, 0.365, 0.992)
Br (0.337, 0.663, 0.500)
Br (0.365, 0.992, 0.252)
Br (0.500, 0.088, 0.912)
Br (0.500, 0.337, 0.663)
Br (0.635, 0.748, 0.008)
Br (0.663, 0.500, 0.337)
Br (0.748, 0.008, 0.635)
Br (0.912, 0.500, 0.088)
Br (0.992, 0.252, 0.365)

total moment = 1.1 Bohr magnetons per cell
space group = R32
D(E_F) = 0.49 states/eV/atom
volume = 673.8 Å³/cell
uncorrected formation energy = -0.646 eV/atom



Entry 4:
First-principles (GGA-PBE) data for an optimized crystal structure of VPHRuS, as listed in the Alexandria database.

a = 3.133 Å, b = 6.572 Å, c = 6.572 Å
α = 26.90°, β = 90.00°, γ = 90.00°
Element x y z (fractional)
V (0.000, 0.000, 0.000)
P (0.000, 0.648, 0.648)
H (0.500, 0.219, 0.219)
Ru (0.500, 0.784, 0.784)
S (0.500, 0.434, 0.434)

total moment = 0.0 Bohr magnetons per cell
space group = Amm2
D(E_F) = 0.43 states/eV/atom
volume = 61.2 Å³/cell
E above lowest polymorph = 173.5 meV/atom



Entry 5:
First-principles (GGA-PBE) data for an optimized crystal structure of Nd4RhPb2, as listed in the Alexandria database.

a = 6.868 Å, b = 6.887 Å, c = 9.491 Å
α = 90.00°, β = 104.20°, γ = 90.00°
Element x y z (fractional)
Nd (0.185, 0.250, 0.106)
Nd (0.252, 0.750, 0.380)
Nd (0.305, 0.005, 0.751)
Nd (0.305, 0.495, 0.751)
Nd (0.695, 0.505, 0.249)
Nd (0.695, 0.995, 0.249)
Nd (0.748, 0.250, 0.620)
Nd (0.815, 0.750, 0.894)
Rh (0.464, 0.250, 0.373)
Rh (0.536, 0.750, 0.627)
Pb (0.099, 0.250, 0.439)
Pb (0.306, 0.750, 0.047)
Pb (0.694, 0.250, 0.953)
Pb (0.901, 0.750, 0.561)

total moment = 0.0 Bohr magnetons per cell
space group = P2_1/m
D(E_F) = 0.70 states/eV/atom
volume = 435.2 Å³/cell
E above lowest polymorph = 0.0 meV/atom
formation energy from the elements = -46.7 kJ per mole of atoms



Entry 6:
First-principles (GGA-PBE) data for an optimized crystal structure of CsRu3Pt, as listed in the Alexandria database.

a = 4.842 Å, b = 4.842 Å, c = 4.842 Å
α = 90.00°, β = 90.00°, γ = 90.00°
Element x y z (fractional)
Cs (0.000, 0.000, 0.000)
Ru (0.000, 0.000, 0.500)
Ru (0.000, 0.500, 0.000)
Ru (0.500, 0.000, 0.000)
Pt (0.500, 0.500, 0.500)

total moment = 4.6 Bohr magnetons per cell
space group = Pm-3m
D(E_F) = 1.04 states/eV/atom
volume = 113.5 Å³/cell
E above lowest polymorph = 1236.1 meV/atom
formation energy from the elements = 287.2 kJ per mole of atoms



Entry 7:
First-principles (GGA-PBE) data for an optimized crystal structure of ScHg2Te, as listed in the Alexandria database.

a = 4.196 Å, b = 4.196 Å, c = 5.848 Å
α = 90.00°, β = 90.00°, γ = 90.00°
Element x y z (fractional)
Sc (0.000, 0.000, 0.000)
Hg (0.000, 0.500, 0.500)
Hg (0.500, 0.000, 0.500)
Te (0.500, 0.500, 0.000)

total moment = 0.0 Bohr magnetons per cell
space group = P4/mmm
D(E_F) = 0.64 states/eV/atom
volume = 103.0 Å³/cell
uncorrected formation energy = -0.345 eV/atom



Entry 8:
First-principles (GGA-PBE) data for an optimized crystal structure of Ca3NdHo2Te6, as listed in the Alexandria database.

a = 9.994 Å, b = 9.994 Å, c = 8.960 Å
α = 104.19°, β = 104.19°, γ = 25.45°
Element x y z (fractional)
Ca (0.000, 0.000, 0.000)
Ca (0.336, 0.336, 0.669)
Ca (0.664, 0.664, 0.331)
Nd (0.000, 0.000, 0.500)
Ho (0.337, 0.337, 0.175)
Ho (0.663, 0.663, 0.825)
Te (0.170, 0.170, 0.076)
Te (0.170, 0.170, 0.588)
Te (0.499, 0.499, 0.243)
Te (0.501, 0.501, 0.757)
Te (0.830, 0.830, 0.412)
Te (0.830, 0.830, 0.924)

total moment = 0.0 Bohr magnetons per cell
space group = C2/m
D(E_F) = 0.42 states/eV/atom
volume = 372.3 Å³/cell
uncorrected formation energy = -1.464 eV/atom



Entry 9:
First-principles (GGA-PBE) data for an optimized crystal structure of SiMoSeN2, as listed in the Alexandria database.

a = 3.907 Å, b = 3.907 Å, c = 5.302 Å
α = 90.00°, β = 90.00°, γ = 90.00°
Element x y z (fractional)
Si (0.000, 0.000, 0.000)
Mo (0.500, 0.500, 0.500)
Se (0.500, 0.500, 0.000)
N (0.000, 0.500, 0.500)
N (0.500, 0.000, 0.500)

total moment = 0.0 Bohr magnetons per cell
space group = P4/mmm
D(E_F) = 0.25 states/eV/atom
volume = 80.9 Å³/cell
uncorrected formation energy = 0.590 eV/atom
E above lowest polymorph = 0.0 meV/atom



Entry 10:
First-principles (GGA-PBE) data for an optimized crystal structure of TaBe3, as listed in the Alexandria database.

a = 2.658 Å, b = 3.611 Å, c = 4.813 Å
α = 90.00°, β = 102.27°, γ = 90.00°
Element x y z (fractional)
Ta (0.000, 0.000, 0.000)
Be (0.345, 0.500, 0.709)
Be (0.500, 0.000, 0.500)
Be (0.655, 0.500, 0.291)

total moment = 0.0 Bohr magnetons per cell
space group = P2/m
D(E_F) = 0.34 states/eV/atom
volume = 45.1 Å³/cell
formation energy from the elements = 13.9 kJ per mole of atoms



Entry 11:
First-principles (GGA-PBE) data for an optimized crystal structure of Na2Ca2US6, as listed in the Alexandria database.

a = 6.899 Å, b = 6.899 Å, c = 7.053 Å
α = 99.70°, β = 99.70°, γ = 118.68°
Element x y z (fractional)
Na (0.171, 0.829, 0.000)
Na (0.829, 0.171, 0.000)
Ca (0.335, 0.665, 0.500)
Ca (0.665, 0.335, 0.500)
U (0.000, 0.000, 0.500)
S (0.070, 0.379, 0.721)
S (0.227, 0.227, 0.281)
S (0.379, 0.070, 0.721)
S (0.621, 0.930, 0.279)
S (0.773, 0.773, 0.719)
S (0.930, 0.621, 0.279)

total moment = 0.0 Bohr magnetons per cell
space group = C2/m
volume = 278.0 Å³/cell
uncorrected formation energy = -1.553 eV/atom



Entry 12:
First-principles (GGA-PBE) data for an optimized crystal structure of Ta2Nb5Mo4, as listed in the Alexandria database.

a = 10.244 Å, b = 10.244 Å, c = 7.179 Å
α = 92.45°, β = 92.45°, γ = 15.09°
Element x y z (fractional)
Ta (0.230, 0.230, 0.314)
Ta (0.770, 0.770, 0.686)
Nb (0.091, 0.091, 0.221)
Nb (0.137, 0.137, 0.598)
Nb (0.500, 0.500, 0.500)
Nb (0.863, 0.863, 0.402)
Nb (0.909, 0.909, 0.779)
Mo (0.046, 0.046, 0.861)
Mo (0.319, 0.319, 0.038)
Mo (0.681, 0.681, 0.962)
Mo (0.954, 0.954, 0.139)

total moment = 0.0 Bohr magnetons per cell
space group = C2/m
D(E_F) = 1.04 states/eV/atom
volume = 195.9 Å³/cell
E above lowest polymorph = 420.9 meV/atom
formation energy from the elements = 27.4 kJ per mole of atoms